# 1
A relaxed structure of PmHgPd2, computed with PBE-GGA.

Its formation energy is -0.54 eV per atom. Its energy above the most stable polymorph in this dataset is 100 meV per atom. The value obtained for the density of states at the Fermi level is 2.89 states/eV per cell. Its crystal system is tetragonal.

The space group is P4/mmm (No. 123) and the conventional cell measures 4.5534, 4.5534 and 3.9589 Å, with angles of 90.00, 90.00 and 90.00 degrees. The inequivalent atoms are Pm at (0.0000, 0.0000, 0.0000), Hg at (0.5000, 0.5000, 0.0000) and Pd at (0.0000, 0.5000, 0.5000).

=====

# 2
A relaxed structure of PmHgPd2, computed with PBE-GGA.

Its formation energy is -0.63 eV per atom. Its energy above the most stable polymorph in this dataset is 9 meV per atom. The value obtained for the density of states at the Fermi level is 10.01 states/eV per cell. Its crystal system is cubic.

The space group is Fm-3m (No. 225) and the conventional cell measures 6.8961, 6.8961 and 6.8961 Å, with angles of 90.00, 90.00 and 90.00 degrees. The inequivalent atoms are Pm at (0.0000, 0.0000, 0.0000), Hg at (0.0000, 0.0000, 0.5000) and Pd at (0.2500, 0.2500, 0.2500).

=====

# 3
A relaxed structure of Pm3Hg3Pd, computed with PBE-GGA.

Its formation energy is -0.52 eV per atom. The value obtained for the density of states at the Fermi level is 9.89 states/eV per cell. Its crystal system is orthorhombic.

The space group is Imm2 (No. 44) and the conventional cell measures 3.7485, 4.8730 and 20.2602 Å, with angles of 90.00, 90.00 and 90.00 degrees. The inequivalent atoms are Pm at (0.0000, 0.0000, 0.0000), Pm at (0.0000, 0.0000, 0.3755), Pm at (0.0000, 0.5000, 0.2049), Hg at (0.0000, 0.0000, 0.5431), Hg at (0.0000, 0.0000, 0.8392), Hg at (0.0000, 0.5000, 0.6291) and Pd at (0.0000, 0.5000, 0.7637).

=====

What is the formation energy in the first record?
-0.54 eV per atom

=====

Among the records above, which one has the highest formation energy?
Pm3Hg3Pd

=====

Look up the formation energy of the first one.
-0.54 eV per atom